Record 1
Density functional theory data (GGA-PBE) for a geometry-optimized HgIF3 structure.

POSCAR file:
```
HgIF3
1.0
4.607 0.000 0.000
0.000 4.607 0.000
0.000 0.000 4.607
Hg I F
1 1 3
Cartesian
0.000 0.000 0.000 Hg
2.304 2.304 2.304 I
0.000 0.000 2.304 F
0.000 2.304 0.000 F
2.304 0.000 0.000 F
```

Results
Mass density: 6.529 g/cm³
Energy relative to the lowest polymorph listed for this composition: 281 meV/atom
ΔE_f (raw): -0.786 eV per atom

Record 2
Density functional theory data (GGA-PBE) for a geometry-optimized HgI2F structure.

POSCAR file:
```
HgI2F
1.0
0.000 3.691 3.691
3.691 0.000 3.691
3.691 3.691 0.000
Hg I F
1 2 1
Cartesian
0.000 0.000 0.000 Hg
1.846 1.846 1.846 I
5.537 5.537 5.537 I
3.691 3.691 3.691 F
```

Results
Mass density: 7.815 g/cm³
Energy relative to the lowest polymorph listed for this composition: 387 meV/atom
ΔE_f (raw): -0.094 eV per atom

Record 3
Density functional theory data (GGA-PBE) for a geometry-optimized HgIF5 structure.

POSCAR file:
```
HgIF5
1.0
6.193 0.000 0.000
-1.305 6.523 0.000
-2.158 -3.028 7.387
Hg I F
2 2 10
Cartesian
0.000 0.000 0.000 Hg
-0.186 3.712 4.282 Hg
-0.894 0.170 5.420 I
2.817 2.098 1.925 I
-2.265 -0.317 6.797 F
-1.932 1.896 5.616 F
-0.516 -1.884 5.926 F
-0.015 1.620 3.941 F
1.442 0.376 1.478 F
0.966 -0.713 4.243 F
1.463 3.568 2.340 F
1.214 2.944 6.135 F
4.367 0.851 1.589 F
4.168 3.485 2.298 F
```

Results
Mass density: 4.702 g/cm³
ΔE_f (raw): -1.370 eV per atom

Record 4
Density functional theory data (GGA-PBE) for a geometry-optimized Hg5I3F12 structure.

POSCAR file:
```
Hg5I3F12
1.0
-7.406 7.406 7.406
7.406 -7.406 7.406
7.406 7.406 -7.406
Hg I F
20 12 48
Cartesian
0.000 0.000 0.000 Hg
3.703 3.703 -3.703 Hg
3.703 -3.703 3.703 Hg
7.406 0.000 0.000 Hg
11.110 1.852 0.000 Hg
7.406 -3.703 5.555 Hg
5.555 7.406 -3.703 Hg
5.555 0.000 3.703 Hg
3.703 5.555 0.000 Hg
7.406 3.703 1.852 Hg
-3.703 3.703 3.703 Hg
0.000 7.406 0.000 Hg
0.000 0.000 7.406 Hg
3.703 3.703 3.703 Hg
0.000 3.703 5.555 Hg
3.703 1.852 7.406 Hg
1.852 7.406 3.703 Hg
1.852 0.000 11.110 Hg
0.000 11.110 1.852 Hg
-3.703 5.555 7.406 Hg
3.703 1.852 0.000 I
7.406 3.703 -1.852 I
1.852 0.000 3.703 I
9.258 0.000 3.703 I
0.000 3.703 1.852 I
3.703 -1.852 7.406 I
3.703 9.258 0.000 I
7.406 3.703 5.555 I
-1.852 7.406 3.703 I
5.555 7.406 3.703 I
0.000 3.703 9.258 I
3.703 5.555 7.406 I
1.995 -0.739 0.966 F
9.115 4.669 -4.442 F
6.668 -0.966 1.995 F
11.848 -1.708 2.737 F
0.966 1.995 -0.739 F
10.144 2.965 -1.708 F
9.402 0.739 0.966 F
9.115 -2.737 4.442 F
4.669 4.442 -1.708 F
6.440 1.995 0.739 F
-0.739 0.966 1.995 F
4.442 -1.708 4.669 F
6.668 6.440 -1.995 F
4.442 1.708 2.737 F
6.440 -1.995 6.668 F
4.669 -4.442 9.115 F
1.995 6.668 -0.966 F
9.115 2.737 2.965 F
2.737 4.442 1.708 F
8.372 5.411 0.739 F
4.442 9.115 -2.737 F
6.668 0.966 5.411 F
1.708 2.737 4.442 F
1.995 0.739 6.440 F
5.411 6.668 0.966 F
5.698 4.669 2.965 F
0.739 6.440 1.995 F
2.965 -1.708 10.144 F
-0.966 1.995 6.668 F
4.669 2.965 5.698 F
-1.708 4.669 4.442 F
5.411 0.739 8.372 F
2.737 11.848 -1.708 F
0.966 9.402 0.739 F
2.965 5.698 4.669 F
0.739 0.966 9.402 F
2.965 9.115 2.737 F
8.145 6.440 5.411 F
0.966 5.411 6.668 F
2.737 2.965 9.115 F
-1.708 10.144 2.965 F
-1.995 6.668 6.440 F
-2.737 4.442 9.115 F
6.440 5.411 8.145 F
-4.442 9.115 4.669 F
0.739 8.372 5.411 F
-1.708 2.737 11.848 F
5.411 8.145 6.440 F
```

Results
Mass density: 6.587 g/cm³
ΔE_f (raw): -0.949 eV per atom

Record 5
Density functional theory data (GGA-PBE) for a geometry-optimized HgIF2 structure.

POSCAR file:
```
HgIF2
1.0
1.729 0.998 10.127
-1.729 0.998 10.127
0.000 -1.996 10.127
Hg I F
1 1 2
Cartesian
0.000 0.000 0.000 Hg
0.000 0.000 15.190 I
0.000 0.000 1.971 F
0.000 0.000 28.410 F
```

Results
Mass density: 5.788 g/cm³
Energy relative to the lowest polymorph listed for this composition: 347 meV/atom
ΔE_f (raw): -0.662 eV per atom

Record 6
Density functional theory data (GGA-PBE) for a geometry-optimized HgI2F structure.

POSCAR file:
```
HgI2F
1.0
6.598 -2.185 0.000
6.598 2.185 0.000
-0.181 0.000 4.587
Hg I F
1 2 1
Cartesian
0.000 0.000 0.000 Hg
4.433 0.000 4.529 I
8.583 0.000 0.059 I
-0.090 0.000 2.294 F
```

Results
Mass density: 5.944 g/cm³
Energy relative to the lowest polymorph listed for this composition: 0 meV/atom
ΔE_f (raw): -0.481 eV per atom

Record 7
Density functional theory data (GGA-PBE) for a geometry-optimized Hg3IF4 structure.

POSCAR file:
```
Hg3IF4
1.0
6.364 -3.344 0.000
6.364 3.344 0.000
-3.137 0.000 8.106
Hg I F
6 2 8
Cartesian
4.795 3.286 4.053 Hg
2.284 0.512 5.801 Hg
3.853 -0.512 1.748 Hg
6.726 0.179 1.763 Hg
5.158 -0.179 5.816 Hg
6.364 -3.286 0.000 Hg
2.423 1.871 2.952 I
0.854 -1.871 7.005 I
3.891 2.469 6.077 F
5.320 1.223 0.093 F
7.945 2.196 1.271 F
5.785 1.170 3.779 F
3.751 -1.223 4.146 F
4.217 -1.170 7.832 F
5.460 -2.469 2.024 F
6.376 -2.196 5.324 F
```

Results
Mass density: 7.746 g/cm³
ΔE_f (raw): -1.075 eV per atom

Record 8
Density functional theory data (GGA-PBE) for a geometry-optimized HgIF2 structure.

POSCAR file:
```
HgIF2
1.0
0.000 3.306 3.306
3.306 0.000 3.306
3.306 3.306 0.000
Hg I F
1 1 2
Cartesian
0.000 0.000 0.000 Hg
3.306 3.306 3.306 I
1.653 1.653 1.653 F
4.960 4.960 4.960 F
```

Results
Mass density: 8.395 g/cm³
Energy relative to the lowest polymorph listed for this composition: 557 meV/atom
ΔE_f (raw): -0.452 eV per atom

Record 9
Density functional theory data (GGA-PBE) for a geometry-optimized HgI2F structure.

POSCAR file:
```
HgI2F
1.0
-3.594 3.594 5.302
3.594 -3.594 5.302
3.594 3.594 -5.302
Hg I F
2 4 2
Cartesian
0.000 0.000 0.000 Hg
0.000 3.594 2.651 Hg
1.797 -1.780 3.976 I
1.814 1.797 1.325 I
1.797 5.374 -1.325 I
1.780 1.797 6.627 I
3.594 0.000 2.651 F
0.000 0.000 5.302 F
```

Results
Mass density: 5.739 g/cm³
Energy relative to the lowest polymorph listed for this composition: 226 meV/atom
ΔE_f (raw): -0.255 eV per atom

Record 10
Density functional theory data (GGA-PBE) for a geometry-optimized Hg2IF2 structure.

POSCAR file:
```
Hg2IF2
1.0
2.982 -3.187 0.000
2.982 3.187 0.000
-1.949 0.000 5.505
Hg I F
2 1 2
Cartesian
0.418 0.000 1.418 Hg
3.598 0.000 4.086 Hg
2.982 0.000 0.000 I
2.008 1.751 2.752 F
2.008 -1.751 2.752 F
```

Results
Mass density: 8.982 g/cm³
ΔE_f (raw): -0.843 eV per atom

Record 11
Density functional theory data (GGA-PBE) for a geometry-optimized HgIF3 structure.

POSCAR file:
```
HgIF3
1.0
4.004 0.000 0.000
0.000 8.179 0.000
-0.740 0.000 12.707
Hg I F
4 4 12
Cartesian
0.664 1.004 5.197 Hg
0.294 7.175 11.550 Hg
2.970 1.004 1.157 Hg
2.600 7.175 7.510 Hg
0.453 3.847 8.498 I
0.823 4.332 2.145 I
2.441 3.847 10.562 I
2.811 4.332 4.209 I
0.747 0.858 2.240 F
0.377 7.321 8.593 F
0.757 3.814 5.355 F
0.387 4.365 11.709 F
0.792 1.310 12.320 F
1.162 6.869 5.967 F
2.101 1.310 6.740 F
2.471 6.869 0.387 F
2.877 3.814 0.998 F
2.507 4.365 7.352 F
2.887 0.858 4.114 F
2.517 7.321 10.467 F
```

Results
Mass density: 6.137 g/cm³
Energy relative to the lowest polymorph listed for this composition: 0 meV/atom
ΔE_f (raw): -1.067 eV per atom

Record 12
Density functional theory data (GGA-PBE) for a geometry-optimized HgIF3 structure.

POSCAR file:
```
HgIF3
1.0
4.671 0.000 0.000
0.000 4.671 0.000
0.000 0.000 4.671
Hg I F
1 1 3
Cartesian
0.000 0.000 0.000 Hg
2.335 2.335 2.335 I
0.000 2.335 2.335 F
2.335 0.000 2.335 F
2.335 2.335 0.000 F
```

Results
Mass density: 6.265 g/cm³
Energy relative to the lowest polymorph listed for this composition: 333 meV/atom
ΔE_f (raw): -0.734 eV per atom